The following is a PBEsol calculation of crystalline GePd2 at its relaxed geometry, from Alexandria.

Unit cell a=6.6706 b=6.6706 c=3.4315 alpha=90.00 beta=90.00 gamma=120.00
Space group P-62m (No. 189)
Unique sites:
Ge: 0.0000 0.0000 0.0000 x1
Ge: 0.3333 0.6667 0.5000 x2
Pd: 0.0000 0.3919 0.0000 x3
Pd: 0.0000 0.7313 0.5000 x3

Calculated values
Formation energy (eV per atom): -0.58
Electronic total energy (eV/atom): -6.198
DOS at the Fermi energy (states/eV/f.u.): 0.80
Total moment (μB per formula unit): 0.0

=====

The following is a PBEsol calculation of crystalline Pm2GePd at its relaxed geometry, from Alexandria.

Unit cell a=7.1516 b=7.1516 c=7.1516 alpha=90.00 beta=90.00 gamma=90.00
Space group Fm-3m (No. 225)
Unique sites:
Pm: 0.2500 0.2500 0.2500 x8
Ge: 0.0000 0.0000 0.0000 x4
Pd: 0.0000 0.0000 0.5000 x4

Calculated values
Formation energy (eV per atom): -0.74
Electronic total energy (eV/atom): -6.030
DOS at the Fermi energy (states/eV/f.u.): 1.97
Total moment (μB per formula unit): 0.0

=====

Copy entry 1 word for word.
The following is a PBEsol calculation of crystalline GePd2 at its relaxed geometry, from Alexandria.

Unit cell a=6.6706 b=6.6706 c=3.4315 alpha=90.00 beta=90.00 gamma=120.00
Space group P-62m (No. 189)
Unique sites:
Ge: 0.0000 0.0000 0.0000 x1
Ge: 0.3333 0.6667 0.5000 x2
Pd: 0.0000 0.3919 0.0000 x3
Pd: 0.0000 0.7313 0.5000 x3

Calculated values
Formation energy (eV per atom): -0.58
Electronic total energy (eV/atom): -6.198
DOS at the Fermi energy (states/eV/f.u.): 0.80
Total moment (μB per formula unit): 0.0

=====

Question: Among the records above, which one has the lowest formation energy?
Answer: Pm2GePd

=====

Question: Among the records above, which one has the highest formation energy?
Answer: GePd2